# 1
Compound: TlCoP2
Source: the Alexandria database
Functional: PBE
Structure: optimized geometry

Output
Calculated formation energy in eV/atom: -0.05
Crystal system: monoclinic
Distance to the lowest polymorph of the same formula in meV per atom: 57
DOS(E_F) in states/eV per atom: 0.61

a = 4.028 Å, b = 4.028 Å, c = 6.455 Å
α = 76.96°, β = 76.96°, γ = 51.37°
Atoms (fractional coordinates):
Co  0.236  0.236  0.068
P  0.932  0.932  0.100
P  0.771  0.771  0.854
Tl  0.561  0.561  0.479



# 2
Compound: TlCoP2
Source: the Alexandria database
Functional: PBE
Structure: optimized geometry

Output
Calculated formation energy in eV/atom: 0.76
Crystal system: cubic
Distance to the lowest polymorph of the same formula in meV per atom: 865
DOS(E_F) in states/eV per atom: 0.17

a = 4.549 Å, b = 4.549 Å, c = 4.549 Å
α = 60.00°, β = 60.00°, γ = 60.00°
Atoms (fractional coordinates):
P  0.250  0.250  0.250
P  0.750  0.750  0.750
Tl  0.500  0.500  0.500
Co  0.000  0.000  0.000



# 3
Compound: TlCoP2
Source: the Alexandria database
Functional: PBE
Structure: optimized geometry

Output
Calculated formation energy in eV/atom: 0.04
Crystal system: tetragonal
Distance to the lowest polymorph of the same formula in meV per atom: 150
DOS(E_F) in states/eV per atom: 0.54

a = 5.748 Å, b = 5.748 Å, c = 6.576 Å
α = 64.09°, β = 64.09°, γ = 90.00°
Atoms (fractional coordinates):
P  0.525  0.125  0.250
P  0.225  0.625  0.250
P  0.375  0.475  0.750
P  0.875  0.775  0.750
Tl  0.000  0.000  0.000
Tl  0.750  0.250  0.500
Co  0.500  0.500  0.000
Co  0.250  0.750  0.500



# 4
Compound: Tl2Co2P
Source: the Alexandria database
Functional: PBE
Structure: optimized geometry

Output
Calculated formation energy in eV/atom: 0.98
Crystal system: tetragonal
Distance to the lowest polymorph of the same formula in meV per atom: 656
DOS(E_F) in states/eV per atom: 1.31

a = 4.115 Å, b = 4.115 Å, c = 6.594 Å
α = 71.82°, β = 71.82°, γ = 90.00°
Atoms (fractional coordinates):
P  0.000  0.000  0.000
Tl  0.750  0.250  0.500
Tl  0.250  0.750  0.500
Co  0.410  0.410  0.181
Co  0.590  0.590  0.819



# 5
Compound: TlCoP2
Source: the Alexandria database
Functional: PBE
Structure: optimized geometry

Output
Calculated formation energy in eV/atom: 0.72
Crystal system: orthorhombic
Distance to the lowest polymorph of the same formula in meV per atom: 829
DOS(E_F) in states/eV per atom: 0.87

a = 4.540 Å, b = 4.540 Å, c = 3.518 Å
α = 90.00°, β = 90.00°, γ = 110.03°
Atoms (fractional coordinates):
Co  0.000  0.500  0.500
P  0.000  0.000  0.000
P  0.500  0.500  0.000
Tl  0.500  0.000  0.500



# 6
Compound: TlCoP2
Source: the Alexandria database
Functional: PBE
Structure: optimized geometry

Output
Calculated formation energy in eV/atom: -0.05
Crystal system: monoclinic
Distance to the lowest polymorph of the same formula in meV per atom: 59
DOS(E_F) in states/eV per atom: 0.52

a = 3.668 Å, b = 4.349 Å, c = 5.107 Å
α = 67.13°, β = 90.00°, γ = 90.00°
Atoms (fractional coordinates):
Co  0.500  0.750  0.750
P  0.000  0.974  0.849
P  0.000  0.526  0.651
Tl  0.500  0.250  0.250



# 7
Compound: TlCoP2
Source: the Alexandria database
Functional: PBE
Structure: optimized geometry

Output
Calculated formation energy in eV/atom: 0.81
Crystal system: tetragonal
Distance to the lowest polymorph of the same formula in meV per atom: 920
DOS(E_F) in states/eV per atom: 0.82

a = 4.865 Å, b = 4.865 Å, c = 4.865 Å
α = 130.00°, β = 130.00°, γ = 73.40°
Atoms (fractional coordinates):
Co  0.750  0.250  0.500
P  0.000  0.000  0.000
P  0.250  0.750  0.500
Tl  0.500  0.500  0.000



# 8
Compound: TlCoP2
Source: the Alexandria database
Functional: PBE
Structure: optimized geometry

Output
Calculated formation energy in eV/atom: 0.65
Crystal system: monoclinic
Distance to the lowest polymorph of the same formula in meV per atom: 758
DOS(E_F) in states/eV per atom: 0.89

a = 5.020 Å, b = 4.474 Å, c = 4.166 Å
α = 74.70°, β = 68.94°, γ = 113.19°
Atoms (fractional coordinates):
Co  0.500  0.500  0.000
P  0.000  0.000  0.000
P  0.500  0.000  0.500
Tl  0.000  0.500  0.500